# 1
An optimized crystal structure of TcPt2Pb. Source: Alexandria, functional PBE.

Values from the calculation:
Energy relative to the lowest polymorph listed for this composition in eV per formula unit: 0.22
Calculated total energy in eV/cell: -25.51

abc: 2.900 3.603 7.137
angles: 90.00 90.64 90.00
Fractional positions:
Tc 0.000 0.000 0.000
Pt 0.495 0.500 0.798
Pt 0.505 0.500 0.202
Pb 0.000 0.000 0.500

# 2
An optimized crystal structure of Tc2PtPb. Source: Alexandria, functional PBE.

Values from the calculation:
Energy relative to the lowest polymorph listed for this composition in eV per formula unit: 4.43
Calculated total energy in eV/cell: -100.35

abc: 6.074 6.074 11.083
angles: 90.00 90.00 90.00
Fractional positions:
Tc 0.208 0.250 0.125
Tc 0.250 0.708 0.375
Tc 0.250 0.792 0.875
Tc 0.292 0.250 0.625
Tc 0.708 0.750 0.625
Tc 0.750 0.208 0.875
Tc 0.750 0.292 0.375
Tc 0.792 0.750 0.125
Pt 0.000 0.000 0.000
Pt 0.000 0.500 0.250
Pt 0.500 0.000 0.750
Pt 0.500 0.500 0.500
Pb 0.000 0.000 0.500
Pb 0.000 0.500 0.750
Pb 0.500 0.000 0.250
Pb 0.500 0.500 0.000

# 3
An optimized crystal structure of TcPt2Pb. Source: Alexandria, functional PBE.

Values from the calculation:
Energy relative to the lowest polymorph listed for this composition in eV per formula unit: 0.64
Calculated total energy in eV/cell: -50.19

abc: 4.228 4.228 7.716
angles: 90.00 90.00 90.00
Fractional positions:
Tc 0.000 0.000 0.000
Tc 0.500 0.500 0.500
Pt 0.000 0.000 0.500
Pt 0.000 0.500 0.250
Pt 0.500 0.000 0.750
Pt 0.500 0.500 0.000
Pb 0.000 0.500 0.750
Pb 0.500 0.000 0.250

# 4
An optimized crystal structure of TcPt2Pb. Source: Alexandria, functional PBE.

Values from the calculation:
Energy relative to the lowest polymorph listed for this composition in eV per formula unit: 0.79
Calculated total energy in eV/cell: -49.89

abc: 2.916 4.993 9.806
angles: 90.00 90.00 90.00
Fractional positions:
Tc 0.000 0.000 0.000
Tc 0.500 0.500 0.500
Pt 0.000 0.000 0.515
Pt 0.000 0.500 0.269
Pt 0.500 0.000 0.769
Pt 0.500 0.500 0.015
Pb 0.000 0.500 0.758
Pb 0.500 0.000 0.258

# 5
An optimized crystal structure of Tc4PtPb. Source: Alexandria, functional PBE.

Values from the calculation:
Calculated total energy in eV/cell: -47.85

abc: 5.223 5.223 5.223
angles: 60.00 60.00 60.00
Fractional positions:
Tc 0.377 0.377 0.377
Tc 0.377 0.377 0.869
Tc 0.377 0.869 0.377
Tc 0.869 0.377 0.377
Pt 0.750 0.750 0.750
Pb 0.000 0.000 0.000

# 6
An optimized crystal structure of Tc2PtPb. Source: Alexandria, functional PBE.

Values from the calculation:
Energy relative to the lowest polymorph listed for this composition in eV per formula unit: 1.17
Calculated total energy in eV/cell: -56.69

abc: 5.448 8.380 2.993
angles: 90.00 90.00 90.00
Fractional positions:
Tc 0.250 0.250 0.000
Tc 0.250 0.750 0.000
Tc 0.750 0.250 0.000
Tc 0.750 0.750 0.000
Pt 0.000 0.000 0.500
Pt 0.500 0.500 0.500
Pb 0.000 0.500 0.500
Pb 0.500 0.000 0.500

# 7
An optimized crystal structure of Tc2PtPb. Source: Alexandria, functional PBE.

Values from the calculation:
Energy relative to the lowest polymorph listed for this composition in eV per formula unit: 0.53
Calculated total energy in eV/cell: -57.96

abc: 4.113 4.113 7.946
angles: 90.00 90.00 90.00
Fractional positions:
Tc 0.000 0.000 0.000
Tc 0.000 0.500 0.250
Tc 0.500 0.000 0.750
Tc 0.500 0.500 0.500
Pt 0.000 0.000 0.500
Pt 0.500 0.500 0.000
Pb 0.000 0.500 0.750
Pb 0.500 0.000 0.250

# 8
An optimized crystal structure of TcPt2Pb. Source: Alexandria, functional PBE.

Values from the calculation:
Energy relative to the lowest polymorph listed for this composition in eV per formula unit: 0.55
Calculated total energy in eV/cell: -50.37

abc: 9.493 3.124 4.784
angles: 90.00 100.05 90.00
Fractional positions:
Tc 0.000 0.000 0.000
Tc 0.500 0.500 0.000
Pt 0.241 0.500 0.228
Pt 0.259 0.000 0.772
Pt 0.741 0.000 0.228
Pt 0.759 0.500 0.772
Pb 0.000 0.500 0.500
Pb 0.500 0.000 0.500

M_tot, record by record: 1.2, 0.0, 0.1, 2.8, 0.0, 0.0, 1.4, 0.0 μB/cell